Entry 1:
The following is a PBE calculation of a geometry-optimized Na3In3GeSe8 structure, from Alexandria via LeMat-Bulk.

abc: 7.908 7.908 8.514
angles: 117.74 117.74 59.96
Positions (direct):
Na 0.000 0.000 0.000
Na 0.000 0.500 0.000
Na 0.500 0.000 0.000
In 0.000 0.500 0.500
In 0.500 0.000 0.500
In 0.500 0.500 0.500
Ge 0.000 0.000 0.500
Se 0.227 0.227 0.711
Se 0.227 0.757 0.711
Se 0.243 0.773 0.289
Se 0.260 0.260 0.282
Se 0.740 0.740 0.718
Se 0.757 0.227 0.711
Se 0.773 0.243 0.289
Se 0.773 0.773 0.289

Properties
Formation energy (no corrections) = -655 meV/atom
DOS at the Fermi energy = 0.07 states/eV/atom

Entry 2:
The following is a PBE calculation of a geometry-optimized NaInGeSe4 structure, from Alexandria via LeMat-Bulk.

abc: 7.519 7.519 7.952
angles: 90.00 90.00 113.94
Positions (direct):
Na 0.000 0.000 0.000
Na 0.000 0.000 0.500
In 0.366 0.634 0.750
In 0.634 0.366 0.250
Ge 0.362 0.638 0.250
Ge 0.638 0.362 0.750
Se 0.243 0.757 0.017
Se 0.243 0.757 0.483
Se 0.259 0.290 0.250
Se 0.290 0.259 0.750
Se 0.710 0.741 0.250
Se 0.741 0.710 0.750
Se 0.757 0.243 0.517
Se 0.757 0.243 0.983

Properties
Formation energy (no corrections) = -546 meV/atom

Entry 3:
The following is a PBE calculation of a geometry-optimized NaIn2GeSe6 structure, from Alexandria via LeMat-Bulk.

abc: 9.695 9.695 7.846
angles: 108.53 108.53 88.71
Positions (direct):
Na 0.128 0.872 0.750
Na 0.872 0.128 0.250
In 0.236 0.400 0.896
In 0.400 0.236 0.396
In 0.600 0.764 0.604
In 0.764 0.600 0.104
Ge 0.165 0.835 0.250
Ge 0.835 0.165 0.750
Se 0.052 0.171 0.664
Se 0.118 0.650 0.947
Se 0.171 0.052 0.164
Se 0.317 0.454 0.623
Se 0.350 0.882 0.553
Se 0.454 0.317 0.123
Se 0.546 0.683 0.877
Se 0.650 0.118 0.447
Se 0.683 0.546 0.377
Se 0.829 0.948 0.836
Se 0.882 0.350 0.053
Se 0.948 0.829 0.336

Properties
Formation energy (no corrections) = -419 meV/atom
DOS at the Fermi energy = 0.08 states/eV/atom

Entry 4:
The following is a PBE calculation of a geometry-optimized NaSmInGe structure, from Alexandria via LeMat-Bulk.

abc: 5.212 5.212 5.212
angles: 60.00 60.00 60.00
Positions (direct):
Na 0.000 0.000 0.000
Sm 0.500 0.500 0.500
In 0.750 0.750 0.750
Ge 0.250 0.250 0.250

Properties
Final energy = -3.604 eV per atom
DOS at the Fermi energy = 0.52 states/eV/atom

Entry 5:
The following is a PBE calculation of a geometry-optimized Na2SrIn2Ge2 structure, from Alexandria via LeMat-Bulk.

abc: 9.435 9.435 9.435
angles: 29.28 29.28 29.28
Positions (direct):
Na 0.147 0.147 0.147
Na 0.853 0.853 0.853
Sr 0.000 0.000 0.000
In 0.435 0.435 0.435
In 0.565 0.565 0.565
Ge 0.264 0.264 0.264
Ge 0.736 0.736 0.736

Properties
Final energy = -2.956 eV per atom
DOS at the Fermi energy = 0.33 states/eV/atom

Entry 6:
The following is a PBE calculation of a geometry-optimized NaTbInGe structure, from Alexandria via LeMat-Bulk.

abc: 5.166 5.166 5.166
angles: 60.00 60.00 60.00
Positions (direct):
Na 0.000 0.000 0.000
Tb 0.500 0.500 0.500
In 0.250 0.250 0.250
Ge 0.750 0.750 0.750

Properties
Final energy = -3.570 eV per atom
DOS at the Fermi energy = 0.56 states/eV/atom

Entry 7:
The following is a PBE calculation of a geometry-optimized NaInTcGe2 structure, from Alexandria via LeMat-Bulk.

abc: 4.846 4.846 5.293
angles: 90.00 90.00 90.00
Positions (direct):
Na 0.000 0.000 0.000
In 0.500 0.500 0.000
Tc 0.500 0.500 0.500
Ge 0.000 0.500 0.500
Ge 0.500 0.000 0.500

Properties
Final energy = -4.666 eV per atom
DOS at the Fermi energy = 0.49 states/eV/atom

Entry 8:
The following is a PBE calculation of a geometry-optimized Na2InGeTe5 structure, from Alexandria via LeMat-Bulk.

abc: 11.074 11.074 13.734
angles: 90.00 90.00 159.52
Positions (direct):
Na 0.111 0.889 0.500
Na 0.126 0.874 0.881
Na 0.874 0.126 0.381
Na 0.889 0.111 0.000
In 0.232 0.768 0.236
In 0.768 0.232 0.736
Ge 0.434 0.566 0.640
Ge 0.566 0.434 0.140
Te 0.035 0.965 0.258
Te 0.284 0.716 0.889
Te 0.317 0.683 0.588
Te 0.358 0.642 0.192
Te 0.488 0.512 0.471
Te 0.512 0.488 0.971
Te 0.642 0.358 0.692
Te 0.683 0.317 0.088
Te 0.716 0.284 0.389
Te 0.965 0.035 0.758

Properties
Formation energy (no corrections) = -364 meV/atom
DOS at the Fermi energy = 0.32 states/eV/atom